(1)
VASP calculation (GGA-PBE) on Sc8Sn2C3 after structural relaxation.

```
Sc8Sn2C3
1.0
-2.289 -5.433 0.502
2.883 -1.756 -5.856
4.949 0.766 6.108
Sc C Sn
8 3 2
direct
0.612 0.673 0.827
0.388 0.327 0.173
0.900 0.090 0.180
0.100 0.910 0.820
0.935 0.597 0.195
0.065 0.403 0.805
0.612 0.154 0.827
0.388 0.846 0.173
0.000 0.255 0.000
0.500 0.000 0.000
0.000 0.745 0.000
0.664 0.744 0.489
0.336 0.256 0.511
```

Computed properties:
energy relative to the elements	-0.45	eV/atom
crystal system	monoclinic
DOS at the Fermi energy	8.2	states/eV/cell



(2)
VASP calculation (GGA-PBE) on Ac2Mg4AlCd3 after structural relaxation.

```
Ac2Mg4AlCd3
1.0
4.703 0.000 0.000
0.000 4.703 0.000
0.000 0.000 12.255
Al Mg Ac Cd
1 4 2 3
direct
0.500 0.500 0.500
0.500 0.500 0.000
0.000 0.000 0.000
0.000 0.500 0.374
0.500 0.000 0.626
0.500 0.000 0.266
0.000 0.500 0.734
0.000 0.500 0.145
0.500 0.000 0.855
0.000 0.000 0.500
```

Computed properties:
energy relative to the elements	-0.19	eV/atom
crystal system	tetragonal
DOS at the Fermi energy	6.5	states/eV/cell



Which value of energy relative to the elements does entry 1 give?
-0.45 eV/atom



Please write out number 1 again, unchanged.
VASP calculation (GGA-PBE) on Sc8Sn2C3 after structural relaxation.

```
Sc8Sn2C3
1.0
-2.289 -5.433 0.502
2.883 -1.756 -5.856
4.949 0.766 6.108
Sc C Sn
8 3 2
direct
0.612 0.673 0.827
0.388 0.327 0.173
0.900 0.090 0.180
0.100 0.910 0.820
0.935 0.597 0.195
0.065 0.403 0.805
0.612 0.154 0.827
0.388 0.846 0.173
0.000 0.255 0.000
0.500 0.000 0.000
0.000 0.745 0.000
0.664 0.744 0.489
0.336 0.256 0.511
```

Computed properties:
energy relative to the elements	-0.45	eV/atom
crystal system	monoclinic
DOS at the Fermi energy	8.2	states/eV/cell